# KCr2Co (PBE, relaxed)
# - Energy above the lowest structure with this stoichiometry: 0.840 eV per atom
# - Crystal system: orthorhombic
# - DFT formation energy: 6.39 eV/f.u.
data_KCr2Co
_chemical_formula_sum 'K2 Cr4 Co2'
_symmetry_space_group_name_H-M 'C m m m'
_symmetry_Int_Tables_number 65
_symmetry_space_group_name_Hall '-C 2 2'
_cell_length_a 5.0047
_cell_length_b 9.8960
_cell_length_c 2.4559
_cell_angle_alpha 90.00
_cell_angle_beta 90.00
_cell_angle_gamma 90.00
loop_
_atom_site_label
_atom_site_type_symbol
_atom_site_fract_x
_atom_site_fract_y
_atom_site_fract_z
_atom_site_occupancy
K1 K 0.0000 0.0000 0.0000 1
Cr1 Cr 0.2500 0.2500 0.5000 1
Co1 Co 0.0000 0.5000 0.0000 1


# Ca2HoS3 (PBE, relaxed)
# - Formation energy from raw total energies: -2.0735 eV/atom
# - Energy above the lowest structure with this stoichiometry: 0.006 eV per atom
# - Crystal system: orthorhombic
data_Ca2HoS3
_chemical_formula_sum 'Ca4 Ho2 S6'
_symmetry_space_group_name_H-M 'I m m m'
_symmetry_Int_Tables_number 71
_symmetry_space_group_name_Hall '-I 2 2'
_cell_length_a 3.9612
_cell_length_b 5.6161
_cell_length_c 11.9511
_cell_angle_alpha 90.00
_cell_angle_beta 90.00
_cell_angle_gamma 90.00
loop_
_atom_site_label
_atom_site_type_symbol
_atom_site_fract_x
_atom_site_fract_y
_atom_site_fract_z
_atom_site_occupancy
Ca1 Ca 0.0000 0.0000 0.1683 1
Ho1 Ho 0.0000 0.0000 0.5000 1
S1 S 0.0000 0.5000 0.1615 1
S2 S 0.0000 0.5000 0.5000 1


# Mg2Zr3 (PBE, relaxed)
# - Energy above the lowest structure with this stoichiometry: 0.065 eV per atom
# - Crystal system: orthorhombic
# - DFT formation energy: 0.62 eV/f.u.
data_Mg2Zr3
_chemical_formula_sum 'Mg16 Zr24'
_symmetry_space_group_name_H-M 'F d d 2'
_symmetry_Int_Tables_number 43
_symmetry_space_group_name_Hall 'F 2 -2d'
_cell_length_a 10.5142
_cell_length_b 14.8773
_cell_length_c 5.7527
_cell_angle_alpha 90.00
_cell_angle_beta 90.00
_cell_angle_gamma 90.00
loop_
_atom_site_label
_atom_site_type_symbol
_atom_site_fract_x
_atom_site_fract_y
_atom_site_fract_z
_atom_site_occupancy
Mg1 Mg 0.0280 0.2017 0.0000 1
Zr1 Zr 0.0000 0.0000 0.0578 1
Zr2 Zr 0.0475 0.0982 0.5353 1